1.
Below is an optimized crystal structure of BaNbTe, with properties calculated at the PBE-GGA level.

abc: 5.5951 5.5951 5.5951
angles: 60.00 60.00 60.00
Positions (direct):
Ba 0.0000 0.0000 0.0000
Nb 0.2500 0.2500 0.2500
Te 0.7500 0.7500 0.7500

## Properties
space group = F-43m, No. 216
calculated density = 4.8 g/cm³
polymorph energy (0 for the lowest one) = 444 meV per atom

---

2.
Below is an optimized crystal structure of BaNbTl2, with properties calculated at the PBE-GGA level.

abc: 5.5364 5.5364 5.5364
angles: 60.00 60.00 60.00
Positions (direct):
Ba 0.7500 0.7500 0.7500
Nb 0.0000 0.0000 0.0000
Tl 0.2500 0.2500 0.2500
Tl 0.5000 0.5000 0.5000

## Properties
E_tot = -14.26 eV per cell
space group = F-43m, No. 216
calculated density = 8.8 g/cm³

---

3.
Below is an optimized crystal structure of BaNbW, with properties calculated at the PBE-GGA level.

abc: 4.7208 4.7208 4.7208
angles: 60.00 60.00 60.00
Positions (direct):
Ba 0.0000 0.0000 0.0000
Nb 0.2500 0.2500 0.2500
W 0.7500 0.7500 0.7500

## Properties
space group = F-43m, No. 216
calculated density = 9.2 g/cm³
polymorph energy (0 for the lowest one) = 1185 meV per atom

---

4.
Below is an optimized crystal structure of BaNbW, with properties calculated at the PBE-GGA level.

abc: 4.7921 4.7921 4.7921
angles: 60.00 60.00 60.00
Positions (direct):
Ba 0.2500 0.2500 0.2500
Nb 0.7500 0.7500 0.7500
W 0.0000 0.0000 0.0000

## Properties
space group = F-43m, No. 216
calculated density = 8.8 g/cm³
polymorph energy (0 for the lowest one) = 0 meV per atom